(1)
# Sr2TeMo

Crystalline Sr2TeMo at its relaxed geometry (PBE, the Alexandria database).

a = 4.7048 Å, b = 4.7048 Å, c = 11.8322 Å
α = 90.00°, β = 90.00°, γ = 90.00°
Last column: nearest neighbours and their distance in Å.
Space group I-4m2 (No. 119)
Symmetry-distinct sites (fractional):
1 Sr 0.0000 0.0000 0.0000  4 Mo 3.33
2 Sr 0.0000 0.5000 0.2500  4 Te 3.33
3 Te 0.0000 0.5000 0.7500  4 Sr 3.33
4 Mo 0.0000 0.0000 0.5000  4 Sr 3.33

Computed properties:
The value obtained for the formation energy (no corrections) is 0.22 eV per atom.

(2)
# TbPm4Nd6

Crystalline TbPm4Nd6 at its relaxed geometry (PBE, the Alexandria database).

a = 6.7673 Å, b = 6.7673 Å, c = 17.1832 Å
α = 90.00°, β = 90.00°, γ = 90.00°
Last column: nearest neighbours and their distance in Å.
Space group I-42m (No. 121)
Symmetry-distinct sites (fractional):
1 Tb 0.0000 0.0000 0.0000  8 Nd 3.38-3.54, 4 Pm 3.76
2 Pm 0.1770 0.1770 0.3751  5 Nd 3.29-3.53, 1 Pm 3.39
3 Nd 0.0000 0.5000 0.0000  4 Pm 3.29, 2 Tb 3.38
4 Nd 0.1897 0.1897 0.1766  5 Pm 3.41-3.69, 1 Tb 3.54, 1 Nd 3.63

Computed properties:
For the total energy, the calculation gives -4.468 eV per atom.

(3)
# RbWI3

Crystalline RbWI3 at its relaxed geometry (PBE, the Alexandria database).

a = 6.7635 Å, b = 6.7635 Å, c = 6.7635 Å
α = 90.00°, β = 90.00°, γ = 90.00°
Last column: nearest neighbours and their distance in Å.
Space group Pm-3m (No. 221)
Symmetry-distinct sites (fractional):
1 Rb 0.0000 0.0000 0.0000  6 I 3.38
2 W 0.5000 0.5000 0.5000  12 I 4.78
3 I 0.0000 0.0000 0.5000  2 Rb 3.38

Computed properties:
The energy above the most stable polymorph in this dataset comes out at 1358 meV per atom. The value obtained for the formation energy (no corrections) is 1.29 eV per atom.

Calculated DOS at the Fermi energy, 0.79; 16.95; 9.73 states/eV/f.u. (same order as the records).
Calculated total moment, 0.98; 0.00; 0.80 μB/atom (same order as the records).